1.
The following is a PBE calculation of a geometry-optimized Pm6PrDy2Er structure, from Alexandria via LeMat-Bulk.

a b c (Å): 9.655 8.933 8.933
angles (deg): 117.43 93.57 93.57
Fractional positions:
Pm 0.314 0.990 0.437
Pm 0.618 0.488 0.707
Pm 0.686 0.010 0.563
Pm 0.882 0.293 0.512
Pm 0.814 0.437 0.990
Pm 0.445 0.243 0.881
Pm 0.382 0.512 0.293
Pm 0.118 0.707 0.488
Pm 0.945 0.881 0.243
Pm 0.055 0.119 0.757
Pm 0.555 0.757 0.119
Pm 0.186 0.563 0.010
Dy 0.047 0.303 0.203
Dy 0.453 0.797 0.697
Dy 0.953 0.697 0.797
Dy 0.547 0.203 0.303
Er 0.250 0.411 0.589
Er 0.750 0.589 0.411
Pr 0.750 0.027 0.973
Pr 0.250 0.973 0.027

- Total moment: 0.000 μB per formula unit
- DFT total energy: -91.80 eV for the cell shown
- V: 678.9 Å³/cell
- ΔE_f: 0.1148 eV/atom

=====

2.
The following is a PBE calculation of a geometry-optimized Rb2TmCuCl6 structure, from Alexandria via LeMat-Bulk.

a b c (Å): 7.310 7.310 7.310
angles (deg): 60.00 60.00 60.00
Fractional positions:
Rb 0.750 0.750 0.750
Rb 0.250 0.250 0.250
Cl 0.748 0.252 0.748
Cl 0.748 0.252 0.252
Cl 0.748 0.748 0.252
Cl 0.252 0.748 0.252
Cl 0.252 0.748 0.748
Cl 0.252 0.252 0.748
Cu 0.500 0.500 0.500
Tm 0.000 0.000 0.000

- Total moment: 0.086 μB per formula unit
- DFT total energy: -39.33 eV for the cell shown
- Formation energy from raw total energies: -17.747 eV/f.u.
- V: 276.2 Å³/cell
- Energy relative to the lowest polymorph listed for this composition: 0.018 eV/atom

=====

3.
The following is a PBE calculation of a geometry-optimized TmIrS2 structure, from Alexandria via LeMat-Bulk.

a b c (Å): 3.655 3.655 7.936
angles (deg): 76.69 76.69 60.00
Fractional positions:
Ir 0.500 0.500 0.500
S 0.883 0.883 0.351
S 0.117 0.117 0.649
Tm 0.000 0.000 0.000

- Total moment: 0.000 μB per formula unit
- DFT total energy: -23.58 eV for the cell shown
- Formation energy from raw total energies: -1.989 eV/f.u.
- V: 88.5 Å³/cell